[1]
A plane-wave DFT calculation with GGA-PBE was carried out for a relaxed structure of HfGaPCl2.

Cell: 4.6537 4.6537 4.9793 Å, 90.00 90.00 90.00°
With the nearest neighbours (Å) after each atom.
Atoms (fractional coordinates):
Hf 0.0000 0.0000 0.0000  4 P 3.29, 8 Cl 3.41
Ga 0.5000 0.5000 0.5000  4 Cl 2.33, 2 P 2.49
P 0.5000 0.5000 0.0000  2 Ga 2.49
Cl 0.0000 0.5000 0.5000  2 Ga 2.33
Cl 0.5000 0.0000 0.5000  2 Ga 2.33

Output
- energy above the lowest structure with this stoichiometry (meV per atom) = 863
- space group = P4/mmm
- energy relative to the elements, uncorrected (eV/atom) = 0.192

[2]
A plane-wave DFT calculation with GGA-PBE was carried out for a relaxed structure of CsDyZnTe3.

Cell: 10.3469 4.4451 10.9505 Å, 90.00 112.13 90.00°
With the nearest neighbours (Å) after each atom.
Atoms (fractional coordinates):
Cs 0.2170 0.2500 0.2459  7 Te 3.84-4.01
Cs 0.7830 0.7500 0.7541  7 Te 3.84-4.01
Dy 0.3298 0.7500 0.8630  6 Te 3.05-3.24
Dy 0.6702 0.2500 0.1370  6 Te 3.05-3.24
Zn 0.0830 0.2500 0.6092  4 Te 2.64-2.77
Zn 0.9170 0.7500 0.3908  4 Te 2.64-2.77
Te 0.1184 0.2500 0.8610  1 Zn 2.64
Te 0.1993 0.7500 0.5440  3 Zn 2.75-2.77
Te 0.4756 0.7500 0.1622  3 Dy 3.05-3.08
Te 0.5244 0.2500 0.8378  3 Dy 3.05-3.08
Te 0.8007 0.2500 0.4560  3 Zn 2.75-2.77
Te 0.8816 0.7500 0.1390  1 Zn 2.64

Output
- space group = P2_1/m
- energy relative to the elements, uncorrected (eV/atom) = -1.084

[3]
A plane-wave DFT calculation with GGA-PBE was carried out for a relaxed structure of K2TaHg.

Cell: 4.2443 4.2443 6.0177 Å, 90.00 90.00 90.00°
With the nearest neighbours (Å) after each atom.
Atoms (fractional coordinates):
K 0.0000 0.5000 0.0000  4 K 3.00
K 0.5000 0.0000 0.0000  4 K 3.00
Ta 0.0000 0.0000 0.5000  4 Hg 3.00
Hg 0.5000 0.5000 0.5000  4 Ta 3.00

Output
- formation energy (kJ/mol of formula units) = 420
- space group = P4/mmm

[4]
A plane-wave DFT calculation with GGA-PBE was carried out for a relaxed structure of BPRuS2.

Cell: 4.7196 4.7196 4.4177 Å, 90.00 90.00 90.00°
With the nearest neighbours (Å) after each atom.
Atoms (fractional coordinates):
B 0.0000 0.0000 0.0000  8 S 3.23, 4 P 3.34
P 0.5000 0.5000 0.0000  2 Ru 2.21
Ru 0.5000 0.5000 0.5000  2 P 2.21, 4 S 2.36
S 0.0000 0.5000 0.5000  2 Ru 2.36
S 0.5000 0.0000 0.5000  2 Ru 2.36

Output
- energy above the lowest structure with this stoichiometry (meV per atom) = 497
- space group = P4/mmm
- energy relative to the elements, uncorrected (eV/atom) = 1.358